No. 1
The following is a DFT calculation (GGA-PBE) of a geometry-optimized CdRe2Au structure.

abc: 4.9769 2.7575 4.9769
angles: 87.17 90.00 90.00
Closest atoms and distances in Å follow each position.
Positions (direct):
Cd 0.5000 0.7500 0.7500  2 Cd 2.76, 4 Au 2.78-2.90, 4 Re 2.93
Re 0.0000 0.0790 0.9926  4 Re 2.55-2.77, 2 Au 2.85
Re 0.0000 0.4210 0.5074  4 Re 2.55-2.77, 2 Au 2.85
Au 0.5000 0.2500 0.2500  2 Au 2.76, 4 Cd 2.78-2.90, 4 Re 2.85

* space group: P2/m (10)
* formation energy from the elements: 0.624 eV/atom

No. 2
The following is a DFT calculation (GGA-PBE) of a geometry-optimized PmErAgRu structure.

abc: 3.4433 3.4433 7.5946
angles: 90.00 90.00 90.00
Closest atoms and distances in Å follow each position.
Positions (direct):
Ag 0.0000 0.0000 0.0871  4 Er 3.13, 4 Pm 3.31, 4 Ag 3.44
Er 0.5000 0.5000 0.3469  4 Ru 2.92, 4 Ag 3.13
Pm 0.5000 0.5000 0.7922  4 Ru 3.01, 4 Ag 3.31
Ru 0.0000 0.0000 0.5585  4 Er 2.92, 4 Pm 3.01

* space group: P4mm (99)
* formation energy from the elements: -0.362 eV/atom
* excess energy over the best structure of this formula in the dataset: 0.000 eV per atom

No. 3
The following is a DFT calculation (GGA-PBE) of a geometry-optimized Ce2BiAs3Rh4 structure.

abc: 4.1793 4.1793 11.1482
angles: 90.00 90.00 90.00
Closest atoms and distances in Å follow each position.
Positions (direct):
As 0.5000 0.0000 0.8724  5 Rh 2.39-2.53
As 0.0000 0.0000 0.5000  4 Rh 2.74, 4 Bi 2.96
As 0.0000 0.5000 0.1276  5 Rh 2.39-2.53
Rh 0.5000 0.5000 0.0000  4 As 2.53
Rh 0.5000 0.0000 0.6584  1 As 2.39
Bi 0.5000 0.5000 0.5000  4 Rh 2.74, 4 As 2.96
Rh 0.0000 0.5000 0.3416  1 As 2.39
Rh 0.0000 0.0000 0.0000  4 As 2.53
Ce 0.0000 0.5000 0.7682  4 As 3.18, 8 Rh 3.20-3.32
Ce 0.5000 0.0000 0.2318  4 As 3.18, 8 Rh 3.20-3.32

* space group: P-4m2 (115)
* formation energy from the elements: -0.768 eV/atom

No. 4
The following is a DFT calculation (GGA-PBE) of a geometry-optimized PmTl2BrO4 structure.

abc: 4.0689 4.0689 9.0665
angles: 90.00 90.00 90.00
Closest atoms and distances in Å follow each position.
Positions (direct):
O 0.0000 0.5000 0.1563  2 Tl 2.23, 2 Pm 2.48
Tl 0.5000 0.5000 0.2575  4 O 2.23
O 0.5000 0.0000 0.8437  2 Tl 2.23, 2 Pm 2.48
Tl 0.5000 0.5000 0.7425  4 O 2.23
Br 0.0000 0.0000 0.5000  8 Tl 3.62, 8 O 3.72
Pm 0.0000 0.0000 0.0000  8 O 2.48
O 0.0000 0.5000 0.8437  2 Tl 2.23, 2 Pm 2.48
O 0.5000 0.0000 0.1563  2 Tl 2.23, 2 Pm 2.48

* ΔE_f (raw): -1.32 eV per atom
* space group: P4/mmm (123)

No. 5
The following is a DFT calculation (GGA-PBE) of a geometry-optimized Er2GePt structure.

abc: 3.4599 3.4599 7.2013
angles: 90.00 90.00 90.00
Closest atoms and distances in Å follow each position.
Positions (direct):
Er 0.0000 0.0000 0.7594  4 Pt 3.00, 4 Ge 3.08
Er 0.0000 0.0000 0.2406  4 Pt 3.00, 4 Ge 3.08
Ge 0.5000 0.5000 0.5000  8 Er 3.08
Pt 0.5000 0.5000 0.0000  8 Er 3.00

* space group: P4/mmm (123)
* formation energy from the elements: -0.966 eV/atom

No. 6
The following is a DFT calculation (GGA-PBE) of a geometry-optimized TbSm3Pu2S6 structure.

abc: 6.8771 6.8771 6.9088
angles: 99.53 99.53 120.01
Closest atoms and distances in Å follow each position.
Positions (direct):
S 0.2514 0.2514 0.7551  1 Tb 2.79, 2 Pu 2.79, 3 Sm 2.83
S 0.7486 0.7486 0.2449  1 Tb 2.79, 2 Pu 2.79, 3 Sm 2.83
Pu 0.6666 0.3334 0.0000  6 S 2.79
Pu 0.3334 0.6666 0.0000  6 S 2.79
S 0.9187 0.5856 0.7562  1 Tb 2.79, 2 Pu 2.79, 3 Sm 2.83-2.84
S 0.0813 0.4144 0.2438  1 Tb 2.79, 2 Pu 2.79, 3 Sm 2.83-2.84
S 0.5856 0.9187 0.7562  1 Tb 2.79, 2 Pu 2.79, 3 Sm 2.83-2.84
Sm 0.5000 0.5000 0.5000  6 S 2.83-2.84
Sm 0.1668 0.8332 0.5000  6 S 2.83-2.84
S 0.4144 0.0813 0.2438  1 Tb 2.79, 2 Pu 2.79, 3 Sm 2.83-2.84
Tb 0.0000 0.0000 0.0000  6 S 2.79
Sm 0.8332 0.1668 0.5000  6 S 2.83-2.84

* ΔE_f (raw): -1.96 eV per atom
* space group: C2/m (12)

No. 7
The following is a DFT calculation (GGA-PBE) of a geometry-optimized TaRu2W structure.

abc: 9.3167 9.3167 9.3167
angles: 17.27 17.27 17.27
Closest atoms and distances in Å follow each position.
Positions (direct):
Ru 0.4976 0.4976 0.4976  3 W 2.75, 6 Ru 2.80, 3 Ta 2.86
W 0.7500 0.7500 0.7500  6 Ru 2.75, 6 W 2.80
Ta 0.2500 0.2500 0.2500  6 Ta 2.80, 6 Ru 2.86
Ru 0.0024 0.0024 0.0024  3 W 2.75, 6 Ru 2.80, 3 Ta 2.86

* space group: R-3m (166)
* formation energy from the elements: 0.107 eV/atom
* excess energy over the best structure of this formula in the dataset: 0.185 eV per atom

No. 8
The following is a DFT calculation (GGA-PBE) of a geometry-optimized CeErGe3 structure.

abc: 3.9914 4.2008 13.5665
angles: 98.91 90.00 90.00
Closest atoms and distances in Å follow each position.
Positions (direct):
Ge 0.7500 0.6240 0.2479  3 Ge 2.56-2.61
Ge 0.2500 0.3760 0.7521  3 Ge 2.56-2.61
Ce 0.2500 0.0743 0.1486  10 Ge 3.15-3.46
Ce 0.7500 0.9257 0.8514  10 Ge 3.15-3.46
Er 0.2500 0.7959 0.5919  7 Ge 2.92-3.00
Er 0.7500 0.2041 0.4081  7 Ge 2.92-3.00
Ge 0.7500 0.5285 0.0569  3 Ge 2.51-2.56
Ge 0.7500 0.3131 0.6262  2 Ge 2.61, 1 Er 2.92
Ge 0.2500 0.6869 0.3738  2 Ge 2.61, 1 Er 2.92
Ge 0.2500 0.4715 0.9431  3 Ge 2.51-2.56

* space group: Cmcm (63)
* formation energy from the elements: -0.676 eV/atom

No. 9
The following is a DFT calculation (GGA-PBE) of a geometry-optimized Cd3SbPd3 structure.

abc: 5.6087 5.7622 5.6087
angles: 110.03 108.91 110.03
Closest atoms and distances in Å follow each position.
Positions (direct):
Sb 0.0000 0.5032 0.0000  6 Pd 2.80
Pd 0.4999 0.0035 0.4999  6 Cd 2.80-2.88, 2 Sb 2.80
Cd 0.4998 0.0036 0.0000  6 Pd 2.80-2.88
Cd 0.0000 0.0036 0.4998  6 Pd 2.80-2.88
Cd 0.5002 0.5038 0.5002  6 Pd 2.80-2.88
Pd 0.5001 0.5036 0.0000  6 Cd 2.80-2.88, 2 Sb 2.80
Pd 0.0000 0.5036 0.5001  6 Cd 2.80-2.88, 2 Sb 2.80

* ΔE_f (raw): -0.33 eV per atom
* space group: R-3m (166)

No. 10
The following is a DFT calculation (GGA-PBE) of a geometry-optimized TbSn2Rh structure.

abc: 5.9043 7.2889 16.5795
angles: 90.00 90.00 90.00
Closest atoms and distances in Å follow each position.
Positions (direct):
Sn 0.7450 0.9599 0.0318  3 Rh 2.70-2.79
Tb 0.9766 0.7500 0.3564  1 Rh 2.94, 4 Sn 3.15-3.23
Tb 0.7418 0.2500 0.3901  2 Rh 2.96-3.23, 4 Sn 3.16-3.18
Rh 0.7176 0.7500 0.1657  6 Sn 2.70-2.84, 1 Tb 2.96
Rh 0.5131 0.7500 0.4207  6 Sn 2.74-2.79, 1 Tb 2.94
Sn 0.7550 0.9599 0.5318  3 Rh 2.70-2.79
Sn 0.4783 0.9568 0.2829  3 Rh 2.74-2.84, 1 Sn 3.01
Sn 0.0217 0.9568 0.7829  3 Rh 2.74-2.84, 1 Sn 3.01
Tb 0.2582 0.7500 0.6099  2 Rh 2.96-3.23, 4 Sn 3.16-3.18
Sn 0.7550 0.5401 0.5318  3 Rh 2.70-2.79
Tb 0.0234 0.2500 0.6436  1 Rh 2.94, 4 Sn 3.15-3.23
Sn 0.5217 0.4568 0.7171  3 Rh 2.74-2.84, 1 Sn 3.01
Tb 0.7582 0.2500 0.8901  2 Rh 2.96-3.23, 4 Sn 3.16-3.18
Sn 0.9783 0.0432 0.2171  3 Rh 2.74-2.84, 1 Sn 3.01
Sn 0.5217 0.0432 0.7171  3 Rh 2.74-2.84, 1 Sn 3.01
Sn 0.0217 0.5432 0.7829  3 Rh 2.74-2.84, 1 Sn 3.01
Tb 0.2418 0.7500 0.1099  2 Rh 2.96-3.23, 4 Sn 3.16-3.18
Rh 0.9869 0.7500 0.9207  6 Sn 2.74-2.79, 1 Tb 2.94
Rh 0.2824 0.2500 0.8343  6 Sn 2.70-2.84, 1 Tb 2.96
Tb 0.5234 0.7500 0.8564  1 Rh 2.94, 4 Sn 3.15-3.23
Rh 0.0131 0.2500 0.0793  6 Sn 2.74-2.79, 1 Tb 2.94
Rh 0.7824 0.7500 0.6657  6 Sn 2.70-2.84, 1 Tb 2.96
Rh 0.4869 0.2500 0.5793  6 Sn 2.74-2.79, 1 Tb 2.94
Sn 0.2550 0.4599 0.9682  3 Rh 2.70-2.79
Sn 0.7450 0.5401 0.0318  3 Rh 2.70-2.79
Sn 0.2450 0.4599 0.4682  3 Rh 2.70-2.79
Sn 0.4783 0.5432 0.2829  3 Rh 2.74-2.84, 1 Sn 3.01
Sn 0.2550 0.0401 0.9682  3 Rh 2.70-2.79
Sn 0.2450 0.0401 0.4682  3 Rh 2.70-2.79
Tb 0.4766 0.2500 0.1436  1 Rh 2.94, 4 Sn 3.15-3.23
Rh 0.2176 0.2500 0.3343  6 Sn 2.70-2.84, 1 Tb 2.96
Sn 0.9783 0.4568 0.2171  3 Rh 2.74-2.84, 1 Sn 3.01

* space group: Pnma (62)
* formation energy from the elements: -0.698 eV/atom